First-principles (PBE) data for a geometry-optimized LiTaP3 structure, as listed in Alexandria.

a = 4.241 Å, b = 4.241 Å, c = 4.241 Å
α = 90.00°, β = 90.00°, γ = 90.00°
Element x y z (fractional)
1 P 0.000 0.500 0.000
2 P 0.000 0.000 0.500
3 P 0.500 0.000 0.000
4 Ta 0.500 0.500 0.500
5 Li 0.000 0.000 0.000

The volume is 15.25 A^3/atom. The space group is No. 221. The calculation puts the energy above the lowest structure with this stoichiometry at 780.9 meV/atom. The total moment is 0.00 μB/f.u. The value obtained for the total energy is -5.13 eV per atom. The formation enthalpy at 0 K comes out at 864 meV/atom.



First-principles (PBE) data for a geometry-optimized SrScSb2 structure, as listed in Alexandria.

a = 3.903 Å, b = 3.903 Å, c = 7.397 Å
α = 90.00°, β = 90.00°, γ = 90.00°
Element x y z (fractional)
1 Sr 0.500 0.500 0.750
2 Sb 0.000 0.000 0.039
3 Sb 0.000 0.000 0.461
4 Sc 0.500 0.500 0.250

The volume is 28.18 A^3/atom. The space group is No. 123. The calculation puts the formation energy (no corrections) at -16.6 kcal/mol of atoms. The calculation puts the energy above the lowest structure with this stoichiometry at 133.9 meV/atom. The total moment is 0.00 μB/f.u. The value obtained for the total energy is -4.78 eV per atom.



First-principles (PBE) data for a geometry-optimized Nd4Tl3Hg4 structure, as listed in Alexandria.

a = 4.076 Å, b = 9.115 Å, c = 10.438 Å
α = 115.89°, β = 101.26°, γ = 90.00°
Element x y z (fractional)
1 Hg 0.335 0.511 0.671
2 Hg 0.665 0.840 0.329
3 Hg 0.335 0.160 0.671
4 Hg 0.665 0.489 0.329
5 Tl 0.906 0.906 0.812
6 Tl 0.094 0.094 0.188
7 Tl 0.000 0.500 0.000
8 Nd 0.272 0.772 0.543
9 Nd 0.728 0.228 0.457
10 Nd 0.500 0.223 0.000
11 Nd 0.500 0.777 0.000

The volume is 30.96 A^3/atom. The space group is No. 71. The total moment is 0.00 μB/f.u. The value obtained for the total energy is -2.70 eV per atom. The formation enthalpy at 0 K comes out at -213 meV/atom.



First-principles (PBE) data for a geometry-optimized Ni3SeS structure, as listed in Alexandria.

a = 4.218 Å, b = 4.218 Å, c = 4.218 Å
α = 90.00°, β = 90.00°, γ = 90.00°
Element x y z (fractional)
1 Ni 0.000 0.500 0.000
2 Ni 0.500 0.000 0.000
3 Ni 0.000 0.000 0.500
4 Se 0.500 0.500 0.500
5 S 0.000 0.000 0.000

The volume is 15.01 A^3/atom. The space group is No. 221. The calculation puts the formation energy (no corrections) at 3.8 kcal/mol of atoms. The calculation puts the energy above the lowest structure with this stoichiometry at 167.9 meV/atom. The total moment is 0.00 μB/f.u. The value obtained for the total energy is -4.83 eV per atom.



First-principles (PBE) data for a geometry-optimized Tl8In5Ga structure, as listed in Alexandria.

a = 8.165 Å, b = 8.165 Å, c = 8.165 Å
α = 110.14°, β = 110.14°, γ = 108.15°
Element x y z (fractional)
1 In 0.942 0.116 0.399
2 In 0.457 0.058 0.175
3 In 0.500 0.500 0.000
4 In 0.718 0.543 0.601
5 In 0.884 0.282 0.825
6 Tl 0.094 0.987 0.756
7 Tl 0.415 0.171 0.593
8 Tl 0.178 0.585 0.756
9 Tl 0.662 0.906 0.893
10 Tl 0.231 0.338 0.244
11 Tl 0.829 0.422 0.244
12 Tl 0.578 0.822 0.407
13 Tl 0.013 0.769 0.107
14 Ga 0.250 0.750 0.500

The volume is 29.92 A^3/atom. The space group is No. 82. The total moment is 0.00 μB/f.u. The value obtained for the total energy is -2.48 eV per atom. The formation enthalpy at 0 K comes out at 65 meV/atom.



First-principles (PBE) data for a geometry-optimized Th3Sb2Rh7 structure, as listed in Alexandria.

a = 4.061 Å, b = 4.136 Å, c = 15.389 Å
α = 97.80°, β = 90.00°, γ = 90.00°
Element x y z (fractional)
1 Sb 0.000 0.083 0.171
2 Sb 0.000 0.917 0.829
3 Rh 0.000 0.789 0.576
4 Rh 0.500 0.864 0.723
5 Rh 0.000 0.000 0.000
6 Rh 0.000 0.211 0.424
7 Rh 0.000 0.635 0.275
8 Rh 0.000 0.365 0.725
9 Rh 0.500 0.136 0.277
10 Th 0.500 0.299 0.596
11 Th 0.500 0.701 0.404
12 Th 0.500 0.500 0.000

The volume is 21.34 A^3/atom. The space group is No. 10. The calculation puts the formation energy (no corrections) at -15.7 kcal/mol of atoms. The calculation puts the energy above the lowest structure with this stoichiometry at 22.1 meV/atom. The total moment is 0.00 μB/f.u. The value obtained for the total energy is -7.51 eV per atom.